# CeZn11Cr

A geometry-optimized CeZn11Cr structure (PBE, Alexandria via LeMat-Bulk).

Cell lengths 6.8547, 6.8547, 6.8533 Å; angles 98.34, 98.34, 135.22 degrees
Fractional coordinates of all 13 atoms:
Ce1 0.0000 0.0000 0.0000
Zn1 0.0000 0.0000 0.5000
Zn2 0.0000 0.5000 0.0000
Zn3 0.0177 0.3672 0.3555
Zn4 0.2814 0.5024 0.7800
Zn5 0.3672 0.0177 0.3555
Zn6 0.4976 0.7186 0.2200
Zn7 0.5000 0.0000 0.0000
Zn8 0.5024 0.2814 0.7800
Zn9 0.6328 0.9823 0.6445
Zn10 0.7186 0.4976 0.2200
Zn11 0.9823 0.6328 0.6445
Cr1 0.5000 0.5000 0.5000

Computed properties:
D(E_F), states/eV/cell: 10.067
Crystal system: monoclinic
Calculated density, g cm⁻³: 7.22
Magnetic moment, Bohr magnetons per cell: 3.590
Total DFT energy (no corrections), eV per atom: -2.372
Formation enthalpy at 0 K, kcal/mol of atoms: -2.24

=====

# CeZn4Cr

A geometry-optimized CeZn4Cr structure (PBE, Alexandria via LeMat-Bulk).

Cell lengths 5.2722, 5.2722, 5.2722 Å; angles 60.00, 60.00, 60.00 degrees
Fractional coordinates of all 6 atoms:
Ce1 0.0000 0.0000 0.0000
Zn1 0.1286 0.6238 0.6238
Zn2 0.6238 0.1286 0.6238
Zn3 0.6238 0.6238 0.1286
Zn4 0.6238 0.6238 0.6238
Cr1 0.2500 0.2500 0.2500

Computed properties:
D(E_F), states/eV/cell: 5.969
Crystal system: cubic
Calculated density, g cm⁻³: 7.27
Magnetic moment, Bohr magnetons per cell: 2.047
Total DFT energy (no corrections), eV per atom: -3.506
Formation enthalpy at 0 K, kcal/mol of atoms: -1.46

=====

# CsCe

A geometry-optimized CsCe structure (PBE, Alexandria via LeMat-Bulk).

Cell lengths 3.8035, 3.8039, 7.5384 Å; angles 90.43, 90.08, 119.99 degrees
Fractional coordinates of all 2 atoms:
Cs1 0.0000 0.0000 0.0000
Ce1 0.6670 0.3337 0.5000

Computed properties:
D(E_F), states/eV/cell: 8.119
Crystal system: triclinic
Calculated density, g cm⁻³: 4.80
Magnetic moment, Bohr magnetons per cell: 1.642
Total DFT energy (no corrections), eV per atom: -2.568
Formation enthalpy at 0 K, kcal/mol of atoms: 19.05

=====

# CsCeCuF6

A geometry-optimized CsCeCuF6 structure (PBE, Alexandria via LeMat-Bulk).

Cell lengths 7.6242, 7.6242, 7.6242 Å; angles 119.03, 118.00, 92.60 degrees
Fractional coordinates of all 18 atoms:
Cs1 0.3375 0.0875 0.2500
Cs2 0.6625 0.9125 0.7500
Ce1 0.0000 0.5000 0.5000
Ce2 0.5000 0.5000 0.0000
Cu1 0.0000 0.0000 0.5000
Cu2 0.0000 0.5000 0.0000
F1 0.0651 0.3672 0.1960
F2 0.0651 0.8691 0.6980
F3 0.1188 0.3688 0.7500
F4 0.3288 0.1309 0.6960
F5 0.3288 0.6328 0.1980
F6 0.3707 0.6207 0.7500
F7 0.6293 0.3793 0.2500
F8 0.6712 0.3672 0.8020
F9 0.6712 0.8691 0.3040
F10 0.8812 0.6312 0.2500
F11 0.9349 0.1309 0.3020
F12 0.9349 0.6328 0.8040

Computed properties:
D(E_F), states/eV/cell: 14.862
Crystal system: orthorhombic
Calculated density, g cm⁻³: 4.68
Magnetic moment, Bohr magnetons per cell: 1.877
Total DFT energy (no corrections), eV per atom: -5.392
Formation energy from raw total energies, kcal/mol of atoms: -67.688

=====

# Cs3CeCu2I9

A geometry-optimized Cs3CeCu2I9 structure (PBE, Alexandria via LeMat-Bulk).

Cell lengths 8.6972, 8.6972, 10.8974 Å; angles 90.00, 90.00, 120.00 degrees
Fractional coordinates of all 15 atoms:
Cs1 0.0000 0.0000 0.0000
Cs2 0.3333 0.6667 0.6358
Cs3 0.6667 0.3333 0.3642
Ce1 0.0000 0.0000 0.5000
Cu1 0.3333 0.6667 0.0215
Cu2 0.6667 0.3333 0.9785
I1 0.0000 0.5000 0.0000
I2 0.1649 0.3297 0.3379
I3 0.1649 0.8351 0.3379
I4 0.3297 0.1649 0.6621
I5 0.5000 0.0000 0.0000
I6 0.5000 0.5000 0.0000
I7 0.6703 0.8351 0.3379
I8 0.8351 0.1649 0.6621
I9 0.8351 0.6703 0.6621

Computed properties:
D(E_F), states/eV/cell: 4.051
Crystal system: trigonal
Calculated density, g cm⁻³: 4.21
Magnetic moment, Bohr magnetons per cell: 0.207
Total DFT energy (no corrections), eV per atom: -3.066
Formation energy from raw total energies, kcal/mol of atoms: -23.610

=====

# Cs2CeCuI6

A geometry-optimized Cs2CeCuI6 structure (PBE, Alexandria via LeMat-Bulk).

Cell lengths 8.5349, 8.5349, 8.5349 Å; angles 60.00, 60.00, 60.00 degrees
Fractional coordinates of all 10 atoms:
Cs1 0.2500 0.2500 0.2500
Cs2 0.7500 0.7500 0.7500
Ce1 0.0000 0.0000 0.0000
Cu1 0.5000 0.5000 0.5000
I1 0.2598 0.2598 0.7402
I2 0.2598 0.7402 0.2598
I3 0.2598 0.7402 0.7402
I4 0.7402 0.2598 0.2598
I5 0.7402 0.2598 0.7402
I6 0.7402 0.7402 0.2598

Computed properties:
D(E_F), states/eV/cell: 4.349
Crystal system: cubic
Calculated density, g cm⁻³: 4.65
Magnetic moment, Bohr magnetons per cell: 1.000
Total DFT energy (no corrections), eV per atom: -3.253
Formation energy from raw total energies, kcal/mol of atoms: -26.507
Relative energy among the computed polymorphs, meV per atom: 26

=====

The highest magnetic moment belongs to which entry?
CeZn11Cr

=====

calculated density of number 4 (CsCeCuF6)?
4.68 g cm⁻³